Entry from the Alexandria database: Li4Mn3O6F after structural relaxation (PBE with a Hubbard U).

The calculation puts the total energy at -88.591 eV/cell. As for the density: 3877 kg/m³. Its crystal system is monoclinic.

a = 4.4326 Å, b = 5.1400 Å, c = 6.4732 Å
α = 97.30°, β = 90.00°, γ = 115.54°
Element x y z (fractional)
Li  0.9253  0.8505  0.7880
Li  0.0747  0.1495  0.2120
Li  0.2191  0.4383  0.6389
Li  0.7809  0.5617  0.3611
Mn  0.5000  0.0000  0.5000
Mn  0.6456  0.2911  0.9270
Mn  0.3544  0.7089  0.0730
O  0.6992  0.3984  0.6389
O  0.3008  0.6016  0.3611
O  0.4428  0.8857  0.7896
O  0.5572  0.1143  0.2104
O  0.1570  0.3140  0.9400
O  0.8430  0.6860  0.0600
F  0.0000  0.0000  0.5000